Entry 1:
Here is a relaxed structure of CeTaNbSi2 from the Alexandria database. Energies are from PBE.

## Properties
* formation energy from raw total energies: -0.61 eV per atom

a = 4.0590 Å, b = 4.0590 Å, c = 6.5200 Å
α = 108.14°, β = 108.14°, γ = 90.00°
Last column: magnetic moment on the atom in μB.
Positions (direct):
Ce1 0.0000 0.0000 0.0000  0.48
Ta1 0.7500 0.2500 0.5000  0.00
Nb1 0.2500 0.7500 0.5000  0.00
Si1 0.6026 0.6026 0.2053  -0.01
Si2 0.3974 0.3974 0.7947  -0.01

Entry 2:
Here is a relaxed structure of CeNbVSi2 from the Alexandria database. Energies are from PBE.

## Properties
* formation energy from raw total energies: -0.59 eV per atom

a = 3.9793 Å, b = 3.9793 Å, c = 6.4059 Å
α = 108.10°, β = 108.10°, γ = 90.00°
Last column: magnetic moment on the atom in μB.
Positions (direct):
Ce1 0.0000 0.0000 0.0000  0.37
Nb1 0.2500 0.7500 0.5000  0.00
V1 0.7500 0.2500 0.5000  -0.01
Si1 0.6053 0.6053 0.2105  0.00
Si2 0.3947 0.3947 0.7895  0.00

Entry 3:
Here is a relaxed structure of CeSm2Nb from the Alexandria database. Energies are from PBE.

## Properties
* energy relative to the elements: 0.569 eV/atom

a = 3.2645 Å, b = 3.2645 Å, c = 11.9277 Å
α = 82.13°, β = 82.13°, γ = 60.00°
Last column: magnetic moment on the atom in μB.
Positions (direct):
Nb1 0.0000 0.0000 0.0000  0.16
Ce1 0.5000 0.5000 0.5000  0.02
Sm1 0.0829 0.0829 0.7514  0.02
Sm2 0.9171 0.9171 0.2486  0.02

Entry 4:
Here is a relaxed structure of Ce2SmNb from the Alexandria database. Energies are from PBE.

## Properties
* energy relative to the elements: 0.458 eV/atom

a = 3.1823 Å, b = 3.1823 Å, c = 11.9692 Å
α = 82.36°, β = 82.36°, γ = 60.00°
Positions (direct):
Nb1 0.0000 0.0000 0.0000
Ce1 0.0785 0.0785 0.7646
Ce2 0.9215 0.9215 0.2354
Sm1 0.5000 0.5000 0.5000

Entry 5:
Here is a relaxed structure of TbCeNb from the Alexandria database. Energies are from PBE.

## Properties
* energy relative to the elements: 0.604 eV/atom

a = 5.9065 Å, b = 4.7987 Å, c = 7.7416 Å
α = 76.42°, β = 67.57°, γ = 52.02°
Positions (direct):
Tb1 0.7500 0.5000 0.5000
Tb2 0.2500 0.5000 0.5000
Nb1 0.8322 0.3356 0.0000
Nb2 0.1678 0.6644 0.0000
Ce1 0.5973 0.0000 0.8054
Ce2 0.4027 0.0000 0.1946

Entry 6:
Here is a relaxed structure of TbCe2Nb from the Alexandria database. Energies are from PBE.

## Properties
* energy relative to the elements: 0.445 eV/atom

a = 3.1670 Å, b = 3.1670 Å, c = 11.9415 Å
α = 82.38°, β = 82.38°, γ = 60.00°
Positions (direct):
Nb1 0.0000 0.0000 0.0000
Tb1 0.5000 0.5000 0.5000
Ce1 0.0789 0.0789 0.7632
Ce2 0.9211 0.9211 0.2368

| no. | DOS at the Fermi energy (states/eV/f.u.) |
| --- | --- |
| 1 | 6.3 |
| 2 | 6.1 |
| 3 | 8.5 |
| 4 | 10.2 |
| 5 | 6.1 |
| 6 | 10.2 |